{
  "formula": "TaBe17Ag",
  "functional": "PBE-GGA",
  "state": "relaxed",
  "lattice": [[-4.3653, -3.3224, -1.0516], [2.6631, -3.6237, -3.3132], [1.0914, -3.8431, 3.9039]],
  "species": ["Be", "Be", "Be", "Be", "Be", "Be", "Be", "Be", "Be", "Be", "Be", "Be", "Be", "Be", "Be", "Be", "Be", "Ta", "Ag"],
  "frac_coords": [[0.3430, 0.3430, 0.8394], [0.3430, 0.8394, 0.3430], [0.1008, 0.1008, 0.1008], [0.0147, 0.4932, 0.0147], [0.2971, 0.7060, 0.9991], [0.0147, 0.0147, 0.4932], [0.1546, 0.6536, 0.6536], [0.7060, 0.9991, 0.2971], [0.6536, 0.6536, 0.1546], [0.8394, 0.3430, 0.3430], [0.6536, 0.1546, 0.6536], [0.2971, 0.9991, 0.7060], [0.4932, 0.0147, 0.0147], [0.9022, 0.9022, 0.9022], [0.9991, 0.2971, 0.7060], [0.9991, 0.7060, 0.2971], [0.7060, 0.2971, 0.9991], [0.3390, 0.3390, 0.3390], [0.6438, 0.6438, 0.6438]],
  "delta_e_f_ev_per_atom": -0.07,
  "dos_at_fermi_per_ev_cell": 4.80,
  "m_tot_mub_per_fu": 0.0,
  "sg": "R3m"
}